This record from Alexandria describes crystalline Y2Ho8Th at its relaxed geometry. The functional is PBE.

abc: 9.3703 9.3703 7.9216
angles: 104.71 104.71 31.01
Positions (direct):
1 Y 0.2280 0.2280 0.1368
2 Y 0.7720 0.7720 0.8632
3 Ho 0.0444 0.0444 0.2315
4 Ho 0.1349 0.1349 0.6782
5 Ho 0.3200 0.3200 0.5928
6 Ho 0.4101 0.4101 0.0476
7 Ho 0.5899 0.5899 0.9524
8 Ho 0.6800 0.6800 0.4072
9 Ho 0.8651 0.8651 0.3218
10 Ho 0.9556 0.9556 0.7685
11 Th 0.5000 0.5000 0.5000

Values from the calculation:
E_tot in eV/atom: -5.151
Space-group type: C2/m

***

This record from Alexandria describes crystalline Ac2Pr2Ho at its relaxed geometry. The functional is PBE.

abc: 6.6205 6.6205 9.8092
angles: 107.05 107.05 75.04
Positions (direct):
1 Ac 0.0321 0.7177 0.8529
2 Ac 0.2823 0.9679 0.6471
3 Ac 0.7177 0.0321 0.3529
4 Ac 0.9679 0.2823 0.1471
5 Pr 0.2742 0.4145 0.5161
6 Pr 0.4145 0.2742 0.0161
7 Pr 0.5855 0.7258 0.9839
8 Pr 0.7258 0.5855 0.4839
9 Ho 0.2408 0.7592 0.2500
10 Ho 0.7592 0.2408 0.7500

Values from the calculation:
E_tot in eV/atom: -4.338
E above lowest polymorph in meV/atom: 0
Space-group type: C2/c

***

This record from Alexandria describes crystalline ErCuSnIr at its relaxed geometry. The functional is PBE.

abc: 6.6496 6.6496 6.6496
angles: 90.00 90.00 90.00
Positions (direct):
1 Er 0.0000 0.0000 0.0000
2 Er 0.0000 0.5000 0.5000
3 Er 0.5000 0.0000 0.5000
4 Er 0.5000 0.5000 0.0000
5 Cu 0.2500 0.2500 0.2500
6 Cu 0.2500 0.7500 0.7500
7 Cu 0.7500 0.2500 0.7500
8 Cu 0.7500 0.7500 0.2500
9 Sn 0.0000 0.0000 0.5000
10 Sn 0.0000 0.5000 0.0000
11 Sn 0.5000 0.0000 0.0000
12 Sn 0.5000 0.5000 0.5000
13 Ir 0.2500 0.2500 0.7500
14 Ir 0.2500 0.7500 0.2500
15 Ir 0.7500 0.2500 0.2500
16 Ir 0.7500 0.7500 0.7500

Values from the calculation:
E_tot in eV/atom: -5.851
Space-group type: F-43m

***

This record from Alexandria describes crystalline Ti2InAg2 at its relaxed geometry. The functional is PBE.

abc: 3.6602 3.6602 14.8516
angles: 90.00 90.00 90.00
Positions (direct):
1 Ti 0.0000 0.5000 0.2500
2 Ti 0.0000 0.5000 0.7500
3 Ti 0.5000 0.0000 0.2500
4 Ti 0.5000 0.0000 0.7500
5 In 0.0000 0.0000 0.0000
6 In 0.5000 0.5000 0.5000
7 Ag 0.0000 0.0000 0.4001
8 Ag 0.0000 0.0000 0.5999
9 Ag 0.5000 0.5000 0.0999
10 Ag 0.5000 0.5000 0.9001

Values from the calculation:
E_tot in eV/atom: -4.548
E above lowest polymorph in meV/atom: 204
Space-group type: I4/mmm

***

This record from Alexandria describes crystalline PmHo3 at its relaxed geometry. The functional is PBE.

abc: 3.6333 11.3426 6.2594
angles: 90.00 90.00 90.00
Positions (direct):
1 Pm 0.0000 0.0000 0.0000
2 Pm 0.5000 0.5000 0.5000
3 Ho 0.0000 0.2485 0.6646
4 Ho 0.0000 0.5000 0.9974
5 Ho 0.0000 0.7515 0.6646
6 Ho 0.5000 0.0000 0.4974
7 Ho 0.5000 0.2515 0.1646
8 Ho 0.5000 0.7485 0.1646

Values from the calculation:
E_tot in eV/atom: -4.607
E above lowest polymorph in meV/atom: 4
Space-group type: Imm2

***

This record from Alexandria describes crystalline Sm12Ga3O5 at its relaxed geometry. The functional is PBE.

abc: 13.5844 13.5844 13.5844
angles: 109.47 109.47 109.47
Positions (direct):
1 Sm 0.0165 0.2021 0.1126
2 Sm 0.0165 0.3144 0.9039
3 Sm 0.0895 0.7021 0.6856
4 Sm 0.0895 0.8874 0.4039
5 Sm 0.0961 0.6126 0.4105
6 Sm 0.0961 0.9835 0.6856
7 Sm 0.1126 0.0165 0.2021
8 Sm 0.1126 0.5961 0.9105
9 Sm 0.1856 0.2021 0.5895
10 Sm 0.1856 0.4835 0.5961
11 Sm 0.2021 0.1126 0.0165
12 Sm 0.2021 0.5895 0.1856
13 Sm 0.2979 0.3144 0.9105
14 Sm 0.2979 0.4835 0.3874
15 Sm 0.3144 0.9039 0.0165
16 Sm 0.3144 0.9105 0.2979
17 Sm 0.3874 0.2979 0.4835
18 Sm 0.3874 0.5895 0.9039
19 Sm 0.4039 0.0895 0.8874
20 Sm 0.4039 0.8144 0.5165
21 Sm 0.4105 0.0961 0.6126
22 Sm 0.4105 0.8144 0.7979
23 Sm 0.4835 0.3874 0.2979
24 Sm 0.4835 0.5961 0.1856
25 Sm 0.5165 0.4039 0.8144
26 Sm 0.5165 0.6126 0.7021
27 Sm 0.5895 0.1856 0.2021
28 Sm 0.5895 0.9039 0.3874
29 Sm 0.5961 0.1856 0.4835
30 Sm 0.5961 0.9105 0.1126
31 Sm 0.6126 0.4105 0.0961
32 Sm 0.6126 0.7021 0.5165
33 Sm 0.6856 0.0895 0.7021
34 Sm 0.6856 0.0961 0.9835
35 Sm 0.7021 0.5165 0.6126
36 Sm 0.7021 0.6856 0.0895
37 Sm 0.7979 0.4105 0.8144
38 Sm 0.7979 0.8874 0.9835
39 Sm 0.8144 0.5165 0.4039
40 Sm 0.8144 0.7979 0.4105
41 Sm 0.8874 0.4039 0.0895
42 Sm 0.8874 0.9835 0.7979
43 Sm 0.9039 0.0165 0.3144
44 Sm 0.9039 0.3874 0.5895
45 Sm 0.9105 0.1126 0.5961
46 Sm 0.9105 0.2979 0.3144
47 Sm 0.9835 0.6856 0.0961
48 Sm 0.9835 0.7979 0.8874
49 Ga 0.1250 0.2500 0.3750
50 Ga 0.1250 0.3750 0.7500
51 Ga 0.2500 0.3750 0.1250
52 Ga 0.2500 0.8750 0.6250
53 Ga 0.3750 0.1250 0.2500
54 Ga 0.3750 0.7500 0.1250
55 Ga 0.6250 0.2500 0.8750
56 Ga 0.6250 0.8750 0.7500
57 Ga 0.7500 0.1250 0.3750
58 Ga 0.7500 0.6250 0.8750
59 Ga 0.8750 0.6250 0.2500
60 Ga 0.8750 0.7500 0.6250
61 O 0.0000 0.0000 0.0000
62 O 0.0000 0.0000 0.5000
63 O 0.0000 0.5000 0.0000
64 O 0.0000 0.5000 0.5000
65 O 0.1250 0.7500 0.8750
66 O 0.1250 0.8750 0.2500
67 O 0.2500 0.1250 0.8750
68 O 0.2500 0.6250 0.3750
69 O 0.3750 0.2500 0.6250
70 O 0.3750 0.6250 0.7500
71 O 0.5000 0.0000 0.0000
72 O 0.5000 0.0000 0.5000
73 O 0.5000 0.5000 0.0000
74 O 0.5000 0.5000 0.5000
75 O 0.6250 0.3750 0.2500
76 O 0.6250 0.7500 0.3750
77 O 0.7500 0.3750 0.6250
78 O 0.7500 0.8750 0.1250
79 O 0.8750 0.1250 0.7500
80 O 0.8750 0.2500 0.1250

Values from the calculation:
Formation energy from raw total energies in meV/atom: -1552
E_tot in eV/atom: -6.077
Space-group type: Ia-3d

***

This record from Alexandria describes crystalline SiBAu at its relaxed geometry. The functional is PBE.

abc: 2.7001 3.4808 5.3254
angles: 71.05 76.38 67.59
Positions (direct):
1 Si 0.0000 0.0000 0.0000
2 B 0.2336 0.3612 0.1701
3 Au 0.6428 0.1829 0.5454

Values from the calculation:
Formation energy from raw total energies in meV/atom: 285
E_tot in eV/atom: -4.841
Space-group type: P1

***

This record from Alexandria describes crystalline BeTc2P at its relaxed geometry. The functional is PBE.

abc: 7.3757 2.8687 4.9135
angles: 90.00 102.53 90.00
Positions (direct):
1 Be 0.0000 0.0000 0.0000
2 Be 0.5000 0.5000 0.0000
3 Tc 0.2485 0.0000 0.7519
4 Tc 0.2515 0.5000 0.2481
5 Tc 0.7485 0.5000 0.7519
6 Tc 0.7515 0.0000 0.2481
7 P 0.0000 0.5000 0.5000
8 P 0.5000 0.0000 0.5000

Values from the calculation:
E_tot in eV/atom: -7.564
E above lowest polymorph in meV/atom: 330
Space-group type: C2/m

***

This record from Alexandria describes crystalline PaBeGa at its relaxed geometry. The functional is PBE.

abc: 6.1071 6.1071 6.1071
angles: 90.00 90.00 90.00
Positions (direct):
1 Pa 0.0000 0.0000 0.0000
2 Pa 0.0000 0.5000 0.5000
3 Pa 0.5000 0.0000 0.5000
4 Pa 0.5000 0.5000 0.0000
5 Be 0.2500 0.2500 0.2500
6 Be 0.2500 0.7500 0.7500
7 Be 0.7500 0.2500 0.7500
8 Be 0.7500 0.7500 0.2500
9 Ga 0.0000 0.0000 0.5000
10 Ga 0.0000 0.5000 0.0000
11 Ga 0.5000 0.0000 0.0000
12 Ga 0.5000 0.5000 0.5000

Values from the calculation:
E_tot in eV/atom: -5.339
E above lowest polymorph in meV/atom: 263
Space-group type: F-43m

***

This record from Alexandria describes crystalline AgSbTe2S6 at its relaxed geometry. The functional is PBE.

abc: 7.8055 7.8055 7.8055
angles: 50.49 50.49 50.49
Positions (direct):
1 Ag 0.0000 0.0000 0.0000
2 Sb 0.4870 0.4870 0.4870
3 Te 0.2873 0.2873 0.2873
4 Te 0.8041 0.8041 0.8041
5 S 0.0819 0.4322 0.7164
6 S 0.2145 0.9223 0.5939
7 S 0.4322 0.7164 0.0819
8 S 0.5939 0.2145 0.9223
9 S 0.7164 0.0819 0.4322
10 S 0.9223 0.5939 0.2145

Values from the calculation:
Formation energy from raw total energies in meV/atom: 35
E_tot in eV/atom: -3.767
Space-group type: R3

***

This record from Alexandria describes crystalline TlGe3Pt3 at its relaxed geometry. The functional is PBE.

abc: 6.9329 6.9329 6.9329
angles: 90.00 90.00 90.00
Positions (direct):
1 Tl 0.0000 0.0000 0.0000
2 Tl 0.5000 0.5000 0.5000
3 Ge 0.0000 0.2500 0.5000
4 Ge 0.0000 0.7500 0.5000
5 Ge 0.2500 0.5000 0.0000
6 Ge 0.5000 0.0000 0.2500
7 Ge 0.5000 0.0000 0.7500
8 Ge 0.7500 0.5000 0.0000
9 Pt 0.0000 0.5000 0.2500
10 Pt 0.0000 0.5000 0.7500
11 Pt 0.2500 0.0000 0.5000
12 Pt 0.5000 0.2500 0.0000
13 Pt 0.5000 0.7500 0.0000
14 Pt 0.7500 0.0000 0.5000

Values from the calculation:
E_tot in eV/atom: -5.098
Space-group type: Pm-3n

***

This record from Alexandria describes crystalline La3Tb4Ag at its relaxed geometry. The functional is PBE.

abc: 3.6939 3.6939 18.7357
angles: 90.00 90.00 90.00
Positions (direct):
1 La 0.0000 0.0000 0.0000
2 La 0.0000 0.0000 0.2712
3 La 0.0000 0.0000 0.7288
4 Tb 0.5000 0.5000 0.1353
5 Tb 0.5000 0.5000 0.4055
6 Tb 0.5000 0.5000 0.5945
7 Tb 0.5000 0.5000 0.8647
8 Ag 0.0000 0.0000 0.5000

Values from the calculation:
E_tot in eV/atom: -4.569
Space-group type: P4/mmm

***

> The lowest E_tot belongs to which entry?

BeTc2P